Record 1
DFT (GGA-PBE) results for an optimized crystal structure of TbNdGa.

Properties
The value obtained for the calculated total energy is -4.50 eV/atom. For the mass density, the calculation gives 7.69 g cm⁻³. Its density of states at the Fermi level is 7.420 states/eV per cell. Its energy above the most stable polymorph in this dataset is 46.2 meV per atom. The formation energy is -34.4 kJ per mole of atoms.

Cell lengths 5.2836, 5.2836, 6.6637 Å; angles 90.00, 90.00, 120.00 degrees
Fractional positions:
Tb: 0.3333 0.6667 0.3668
Ga: 0.6667 0.3333 0.3663
Tb: 0.6667 0.3333 0.8668
Nd: 0.0000 0.0000 0.1168
Ga: 0.3333 0.6667 0.8663
Nd: 0.0000 0.0000 0.6168

Record 2
DFT (GGA-PBE) results for an optimized crystal structure of TbNd2Ga.

Properties
The value obtained for the calculated total energy is -4.14 eV/atom. For the mass density, the calculation gives 6.58 g cm⁻³. Its density of states at the Fermi level is 4.492 states/eV per cell. Its energy above the most stable polymorph in this dataset is 413.3 meV per atom. The formation energy is 15.2 kJ per mole of atoms.

Cell lengths 3.5499, 3.5499, 12.1384 Å; angles 81.59, 81.59, 60.00 degrees
Fractional positions:
Nd: 0.0858 0.0858 0.7425
Nd: 0.9142 0.9142 0.2575
Ga: 0.0000 0.0000 0.0000
Tb: 0.5000 0.5000 0.5000